A plane-wave DFT calculation with PBE was carried out for a relaxed structure of Ce2BeGeC.

The structure belongs to space group P2_1/m (No. 11); the cell edges are 6.394, 3.835 and 8.180 Å and the angles 90.00°, 108.20° and 90.00°. The distinct sites, in fractional coordinates, are Ce at (0.202, 0.250, 0.387), Ce at (0.222, 0.250, 0.966), Be at (0.452, 0.750, 0.249), Ge at (0.336, 0.750, 0.700) and C at (0.169, 0.750, 0.172).

Its formation energy from the elements is -0.46 eV/atom. The total magnetization comes out at 0.89 μB/f.u.



A plane-wave DFT calculation with PBE was carried out for a relaxed structure of La2As4Pd5.

The structure belongs to space group Fmmm (No. 69); the cell edges are 5.850, 10.171 and 15.002 Å and the angles 90.00°, 90.00° and 90.00°. The distinct sites, in fractional coordinates, are La at (0.000, 0.000, 0.142), As at (0.000, 0.152, 0.370), Pd at (0.000, 0.000, 0.500), Pd at (0.250, 0.250, 0.000) and Pd at (0.250, 0.250, 0.250).

Its formation energy from the elements is -0.72 eV/atom. The total magnetization comes out at 0.00 μB/f.u.



A plane-wave DFT calculation with PBE was carried out for a relaxed structure of Be3SiNi3.

The structure belongs to space group Cmmm (No. 65); the cell edges are 7.436, 7.609 and 5.046 Å and the angles 90.00°, 90.00° and 90.00°. The distinct sites, in fractional coordinates, are Be at (0.000, 0.239, 0.000), Be at (0.000, 0.250, 0.500), Be at (0.242, 0.000, 0.500), Si at (0.219, 0.000, 0.000), Ni at (0.000, 0.500, 0.246) and Ni at (0.250, 0.250, 0.255).

The total magnetization comes out at 0.00 μB/f.u. The value obtained for the uncorrected formation energy is -0.357 eV/atom.



A plane-wave DFT calculation with PBE was carried out for a relaxed structure of TlRe2Sb.

The structure belongs to space group Fm-3m (No. 225); the cell edges are 6.603, 6.603 and 6.603 Å and the angles 90.00°, 90.00° and 90.00°. The distinct sites, in fractional coordinates, are Tl at (0.000, 0.000, 0.000), Re at (0.250, 0.250, 0.250) and Sb at (0.000, 0.000, 0.500).

The total magnetization comes out at 0.00 μB/f.u. The value obtained for the uncorrected formation energy is 1.020 eV/atom.